1.
Density functional theory data (GGA-PBE) for a relaxed structure of TbPaIn2.

V: 314.62 Å³/cell
Distance to the lowest polymorph of the same formula: 0.098 eV per atom

Cell: 3.3165 3.3165 33.0296 Å, 90.00 90.00 120.00°
Space group R-3m (No. 166, hexagonal axes)
Asymmetric unit:
Tb1 0.0000 0.0000 0.0000 (multiplicity 3)
Pa1 0.0000 0.0000 0.5000 (multiplicity 3)
In1 0.0000 0.0000 0.2505 (multiplicity 6)

=====

2.
Density functional theory data (GGA-PBE) for a relaxed structure of TbPa2In9.

V: 300.49 Å³/cell

Cell: 4.646 4.646 13.921 Å, 90.00 90.00 90.00°
Space group P4/mmm (No. 123)
Asymmetric unit:
Tb1 0.000 0.000 0.000 (multiplicity 1)
Pa1 0.000 0.000 0.333 (multiplicity 2)
In1 0.000 0.500 0.166 (multiplicity 4)
In2 0.000 0.500 0.500 (multiplicity 2)
In3 0.500 0.500 0.000 (multiplicity 1)
In4 0.500 0.500 0.334 (multiplicity 2)

=====

3.
Density functional theory data (GGA-PBE) for a relaxed structure of TbPaIn6.

V: 200.28 Å³/cell

Cell: 6.574 6.574 4.634 Å, 90.00 90.00 90.00°
Space group P4/mmm (No. 123)
Asymmetric unit:
Tb1 0.000 0.000 0.000 (multiplicity 1)
Pa1 0.500 0.500 0.000 (multiplicity 1)
In1 0.000 0.500 0.000 (multiplicity 2)
In2 0.250 0.250 0.500 (multiplicity 4)

=====

4.
Density functional theory data (GGA-PBE) for a relaxed structure of TbPaIn2.

V: 102.74 Å³/cell
Distance to the lowest polymorph of the same formula: 0.000 eV per atom

Cell: 3.334 3.334 9.243 Å, 90.00 90.00 90.00°
Space group P4/mmm (No. 123)
Asymmetric unit:
Tb1 0.000 0.000 0.000 (multiplicity 1)
Pa1 0.000 0.000 0.500 (multiplicity 1)
In1 0.500 0.500 0.249 (multiplicity 2)

=====

5.
Density functional theory data (GGA-PBE) for a relaxed structure of TbPaIn2.

V: 104.48 Å³/cell
Distance to the lowest polymorph of the same formula: 0.082 eV per atom

Cell: 4.787 4.787 4.560 Å, 90.00 90.00 90.00°
Space group P4/mmm (No. 123)
Asymmetric unit:
Tb1 0.000 0.000 0.000 (multiplicity 1)
Pa1 0.500 0.500 0.000 (multiplicity 1)
In1 0.000 0.500 0.500 (multiplicity 2)

=====

6.
Density functional theory data (GGA-PBE) for a relaxed structure of Tb2PaIn.

V: 110.45 Å³/cell
Distance to the lowest polymorph of the same formula: 0.000 eV per atom

Cell: 3.457 3.457 9.244 Å, 90.00 90.00 90.00°
Space group P4/mmm (No. 123)
Asymmetric unit:
Tb1 0.000 0.000 0.241 (multiplicity 2)
Pa1 0.500 0.500 0.500 (multiplicity 1)
In1 0.500 0.500 0.000 (multiplicity 1)

=====

7.
Density functional theory data (GGA-PBE) for a relaxed structure of Tb2PaIn9.

V: 299.77 Å³/cell

Cell: 4.637 4.637 13.942 Å, 90.00 90.00 90.00°
Space group P4/mmm (No. 123)
Asymmetric unit:
Tb1 0.000 0.000 0.167 (multiplicity 2)
Pa1 0.000 0.000 0.500 (multiplicity 1)
In1 0.000 0.500 0.000 (multiplicity 2)
In2 0.000 0.500 0.334 (multiplicity 4)
In3 0.500 0.500 0.167 (multiplicity 2)
In4 0.500 0.500 0.500 (multiplicity 1)

=====

8.
Density functional theory data (GGA-PBE) for a relaxed structure of TbPaIn4.

V: 611.54 Å³/cell

Cell: 8.488 8.488 8.488 Å, 90.00 90.00 90.00°
Space group F-43m (No. 216)
Asymmetric unit:
Tb1 0.000 0.000 0.000 (multiplicity 4)
Pa1 0.250 0.250 0.750 (multiplicity 4)
In1 0.125 0.125 0.375 (multiplicity 16)

=====

| no. | E_form (eV per atom) |
| --- | --- |
| 1 | -0.114 |
| 2 | -0.232 |
| 3 | -0.275 |
| 4 | -0.212 |
| 5 | -0.130 |
| 6 | -0.109 |
| 7 | -0.332 |
| 8 | -0.085 |